No. 1
Material: Tb6SbSe3S2
Method: DFT, PBE-GGA
State: optimized geometry

## Properties
Density of states at the Fermi level ... 9.26 states/eV per cell
Energy ... -5.947 eV per atom
Theoretical density ... 7.8 Mg/m³
Total moment ... 0.000 μB per atom
Uncorrected formation energy ... -1.7294 eV/atom

Unit cell a=17.890 b=4.088 c=8.238 alpha=90.00 beta=103.74 gamma=90.00
Space group C2/m (No. 12)
Unique sites:
Tb: 0.009 0.000 0.265 x4
Tb: 0.172 0.500 0.108 x4
Tb: 0.172 0.500 0.572 x4
Sb: 0.000 0.500 0.000 x2
Se: 0.000 0.500 0.500 x2
Se: 0.163 0.000 0.834 x4
S: 0.169 0.000 0.339 x4

***

No. 2
Material: Tb6SbSe2S3
Method: DFT, PBE-GGA
State: optimized geometry

## Properties
Density of states at the Fermi level ... 7.18 states/eV per cell
Energy ... -6.051 eV per atom
Theoretical density ... 7.7 Mg/m³
Total moment ... 0.000 μB per atom
Uncorrected formation energy ... -1.7796 eV/atom

Unit cell a=17.797 b=4.038 c=8.204 alpha=90.00 beta=104.18 gamma=90.00
Space group C2/m (No. 12)
Unique sites:
Tb: 0.004 0.000 0.229 x4
Tb: 0.161 0.500 0.095 x4
Tb: 0.174 0.500 0.568 x4
Sb: 0.000 0.500 0.500 x2
Se: 0.169 0.000 0.834 x4
S: 0.000 0.500 0.000 x2
S: 0.166 0.000 0.329 x4

***

No. 3
Material: Tb6Sb3Se2S
Method: DFT, PBE-GGA
State: optimized geometry

## Properties
Density of states at the Fermi level ... 10.23 states/eV per cell
Energy ... -5.757 eV per atom
Theoretical density ... 7.8 Mg/m³
Total moment ... 0.000 μB per atom
Uncorrected formation energy ... -1.4869 eV/atom

Unit cell a=18.448 b=4.228 c=8.446 alpha=90.00 beta=103.24 gamma=90.00
Space group C2/m (No. 12)
Unique sites:
Tb: 0.001 0.000 0.232 x4
Tb: 0.157 0.500 0.086 x4
Tb: 0.168 0.500 0.578 x4
Sb: 0.000 0.500 0.500 x2
Sb: 0.170 0.000 0.836 x4
Se: 0.166 0.000 0.334 x4
S: 0.000 0.500 0.000 x2

***

No. 4
Material: Tb4Sb2SeS
Method: DFT, PBE-GGA
State: optimized geometry

## Properties
Density of states at the Fermi level ... 3.36 states/eV per cell
Energy ... -5.793 eV per atom
Theoretical density ... 7.8 Mg/m³
Total moment ... 0.000 μB per atom
Uncorrected formation energy ... -1.4959 eV/atom

Unit cell a=7.291 b=4.218 c=7.299 alpha=90.00 beta=109.56 gamma=90.00
Space group P2/m (No. 10)
Unique sites:
Tb: 0.229 0.000 0.237 x2
Tb: 0.233 0.500 0.751 x2
Sb: 0.500 0.000 0.000 x1
Sb: 0.500 0.500 0.500 x1
Se: 0.000 0.000 0.500 x1
S: 0.000 0.500 0.000 x1

***

No. 5
Material: Tb4SbSe2S
Method: DFT, PBE-GGA
State: optimized geometry

## Properties
Density of states at the Fermi level ... 13.22 states/eV per cell
Energy ... -5.870 eV per atom
Theoretical density ... 7.8 Mg/m³
Total moment ... 0.000 μB per atom
Uncorrected formation energy ... -1.6526 eV/atom

Unit cell a=8.254 b=8.315 c=11.728 alpha=90.00 beta=90.00 gamma=90.00
Space group Imma (No. 74)
Unique sites:
Tb: 0.000 0.017 0.245 x8
Tb: 0.239 0.250 0.010 x8
Sb: 0.000 0.000 0.500 x4
Se: 0.000 0.000 0.000 x4
Se: 0.250 0.250 0.750 x4
S: 0.250 0.250 0.250 x4

***

No. 6
Material: Tb6Sb3SeS2
Method: DFT, PBE-GGA
State: optimized geometry

## Properties
Density of states at the Fermi level ... 9.35 states/eV per cell
Energy ... -5.834 eV per atom
Theoretical density ... 7.7 Mg/m³
Total moment ... 0.000 μB per atom
Uncorrected formation energy ... -1.5099 eV/atom

Unit cell a=7.278 b=12.580 c=7.276 alpha=90.00 beta=109.48 gamma=90.00
Space group C2/m (No. 12)
Unique sites:
Tb: 0.234 0.000 0.226 x4
Tb: 0.248 0.329 0.230 x8
Sb: 0.000 0.000 0.500 x2
Sb: 0.000 0.337 0.500 x4
Se: 0.000 0.500 0.000 x2
S: 0.000 0.167 0.000 x4

***

No. 7
Material: Sb2TeSeS
Method: DFT, PBE-GGA
State: optimized geometry

## Properties
Density of states at the Fermi level ... 5.26 states/eV per cell
Energy ... -3.153 eV per atom
Theoretical density ... 5.6 Mg/m³
Total moment ... 0.000 μB per atom
Uncorrected formation energy ... 0.6463 eV/atom

Unit cell a=5.289 b=5.289 c=5.137 alpha=90.00 beta=90.00 gamma=90.00
Space group P4/mmm (No. 123)
Unique sites:
Sb: 0.000 0.500 0.000 x2
Te: 0.000 0.000 0.500 x1
Se: 0.500 0.500 0.500 x1
S: 0.000 0.000 0.000 x1

***

No. 8
Material: Sb2TeSeS
Method: DFT, PBE-GGA
State: optimized geometry

## Properties
Density of states at the Fermi level ... 7.51 states/eV per cell
Energy ... -2.901 eV per atom
Theoretical density ... 5.0 Mg/m³
Total moment ... 0.000 μB per atom
Uncorrected formation energy ... 0.8989 eV/atom

Unit cell a=5.461 b=5.461 c=5.326 alpha=90.00 beta=90.00 gamma=90.00
Space group P4/mmm (No. 123)
Unique sites:
Sb: 0.000 0.500 0.000 x2
Te: 0.000 0.000 0.500 x1
Se: 0.000 0.000 0.000 x1
S: 0.500 0.500 0.500 x1

***

No. 9
Material: Tm6SbSe3S2
Method: DFT, PBE-GGA
State: optimized geometry

## Properties
Density of states at the Fermi level ... 9.19 states/eV per cell
Energy ... -5.771 eV per atom
Theoretical density ... 8.6 Mg/m³
Total moment ... 0.000 μB per atom
Uncorrected formation energy ... -1.6327 eV/atom

Unit cell a=6.926 b=11.991 c=7.042 alpha=90.00 beta=109.21 gamma=90.00
Space group C2/m (No. 12)
Unique sites:
Tm: 0.220 0.000 0.233 x4
Tm: 0.242 0.178 0.764 x8
Sb: 0.000 0.500 0.000 x2
Se: 0.000 0.000 0.500 x2
Se: 0.000 0.340 0.500 x4
S: 0.000 0.168 0.000 x4

***

No. 10
Material: Tm4SbSeS2
Method: DFT, PBE-GGA
State: optimized geometry

## Properties
Density of states at the Fermi level ... 4.70 states/eV per cell
Energy ... -5.791 eV per atom
Theoretical density ... 8.4 Mg/m³
Total moment ... 0.000 μB per atom
Uncorrected formation energy ... -1.5728 eV/atom

Unit cell a=5.703 b=5.703 c=11.395 alpha=90.00 beta=90.00 gamma=90.00
Space group I4/mmm (No. 139)
Unique sites:
Tm: 0.000 0.000 0.244 x4
Tm: 0.000 0.500 0.000 x4
Sb: 0.000 0.000 0.500 x2
Se: 0.000 0.000 0.000 x2
S: 0.000 0.500 0.250 x4

***

No. 11
Material: V2SbSeS
Method: DFT, PBE-GGA
State: optimized geometry

## Properties
Density of states at the Fermi level ... 6.34 states/eV per cell
Energy ... -5.528 eV per atom
Theoretical density ... 5.0 Mg/m³
Total moment ... 1.157 μB per atom
Uncorrected formation energy ... 0.4666 eV/atom

Unit cell a=4.539 b=4.539 c=5.389 alpha=90.00 beta=90.00 gamma=90.00
Space group P4/mmm (No. 123)
Unique sites:
V: 0.000 0.500 0.000 x2
Sb: 0.000 0.000 0.500 x1
Se: 0.500 0.500 0.500 x1
S: 0.000 0.000 0.000 x1

***

No. 12
Material: Sb2WSeS
Method: DFT, PBE-GGA
State: optimized geometry

## Properties
Density of states at the Fermi level ... 2.67 states/eV per cell
Energy ... -4.470 eV per atom
Theoretical density ... 7.4 Mg/m³
Total moment ... 0.496 μB per atom
Uncorrected formation energy ... 1.2919 eV/atom

Unit cell a=5.101 b=5.101 c=4.671 alpha=90.00 beta=90.00 gamma=90.00
Space group P4/mmm (No. 123)
Unique sites:
Sb: 0.000 0.500 0.000 x2
W: 0.000 0.000 0.500 x1
Se: 0.500 0.500 0.500 x1
S: 0.500 0.500 0.000 x1

***

No. 13
Material: Y6SbSe2S3
Method: DFT, PBE-GGA
State: optimized geometry

## Properties
Density of states at the Fermi level ... 7.59 states/eV per cell
Energy ... -6.963 eV per atom
Theoretical density ... 5.3 Mg/m³
Total moment ... 0.000 μB per atom
Uncorrected formation energy ... -1.7748 eV/atom

Unit cell a=17.762 b=4.030 c=8.188 alpha=90.00 beta=104.18 gamma=90.00
Space group C2/m (No. 12)
Unique sites:
Y: 0.005 0.000 0.230 x4
Y: 0.161 0.500 0.095 x4
Y: 0.174 0.500 0.568 x4
Sb: 0.000 0.500 0.500 x2
Se: 0.169 0.000 0.835 x4
S: 0.000 0.500 0.000 x2
S: 0.166 0.000 0.329 x4

***

No. 14
Material: Y6Sb2Se3S
Method: DFT, PBE-GGA
State: optimized geometry

## Properties
Density of states at the Fermi level ... 7.21 states/eV per cell
Energy ... -6.727 eV per atom
Theoretical density ... 5.6 Mg/m³
Total moment ... 0.000 μB per atom
Uncorrected formation energy ... -1.5931 eV/atom

Unit cell a=18.256 b=4.155 c=8.361 alpha=90.00 beta=103.13 gamma=90.00
Space group C2/m (No. 12)
Unique sites:
Y: 0.003 0.000 0.274 x4
Y: 0.154 0.500 0.569 x4
Y: 0.161 0.500 0.092 x4
Sb: 0.167 0.000 0.835 x4
Se: 0.000 0.500 0.000 x2
Se: 0.170 0.000 0.337 x4
S: 0.000 0.500 0.500 x2

***

No. 15
Material: Y4SbSe2S
Method: DFT, PBE-GGA
State: optimized geometry

## Properties
Density of states at the Fermi level ... 13.83 states/eV per cell
Energy ... -6.786 eV per atom
Theoretical density ... 5.5 Mg/m³
Total moment ... 0.000 μB per atom
Uncorrected formation energy ... -1.6521 eV/atom

Unit cell a=8.241 b=8.296 c=11.705 alpha=90.00 beta=90.00 gamma=90.00
Space group Imma (No. 74)
Unique sites:
Y: 0.000 0.017 0.245 x8
Y: 0.239 0.250 0.010 x8
Sb: 0.000 0.000 0.500 x4
Se: 0.000 0.000 0.000 x4
Se: 0.250 0.250 0.750 x4
S: 0.250 0.250 0.250 x4

***

No. 16
Material: SiSbS4
Method: DFT, PBE-GGA
State: optimized geometry

## Properties
Energy ... -4.562 eV per atom
Theoretical density ... 2.5 Mg/m³
Total moment ... 0.000 μB per atom
Uncorrected formation energy ... -0.2191 eV/atom

Unit cell a=18.601 b=5.265 c=8.657 alpha=90.00 beta=117.71 gamma=90.00
Space group C2/m (No. 12)
Unique sites:
Si: 0.121 0.000 0.301 x4
Sb: 0.239 0.500 0.202 x4
S: 0.005 0.000 0.885 x4
S: 0.119 0.000 0.543 x4
S: 0.140 0.500 0.303 x4
S: 0.211 0.000 0.216 x4

***

No. 17
Material: Si2Sb2S7
Method: DFT, PBE-GGA
State: optimized geometry

## Properties
Energy ... -4.620 eV per atom
Theoretical density ... 3.2 Mg/m³
Total moment ... 0.000 μB per atom
Uncorrected formation energy ... -0.2574 eV/atom

Unit cell a=8.795 b=10.884 c=5.828 alpha=90.00 beta=100.02 gamma=90.00
Space group C2/m (No. 12)
Unique sites:
Si: 0.227 0.000 0.412 x4
Sb: 0.000 0.310 0.000 x4
S: 0.000 0.000 0.500 x2
S: 0.108 0.500 0.261 x4
S: 0.240 0.331 0.754 x8

***

No. 18
Material: Si2SbS
Method: DFT, PBE-GGA
State: optimized geometry

## Properties
Density of states at the Fermi level ... 9.62 states/eV per cell
Energy ... -4.216 eV per atom
Theoretical density ... 4.7 Mg/m³
Total moment ... 0.000 μB per atom
Uncorrected formation energy ... 0.5578 eV/atom

Unit cell a=6.680 b=6.680 c=6.680 alpha=90.00 beta=90.00 gamma=90.00
Space group Fm-3m (No. 225)
Unique sites:
Si: 0.250 0.250 0.250 x8
Sb: 0.000 0.000 0.000 x4
S: 0.000 0.000 0.500 x4

***

No. 19
Material: SiSb2S6
Method: DFT, PBE-GGA
State: optimized geometry

## Properties
Density of states at the Fermi level ... 10.58 states/eV per cell
Energy ... -4.303 eV per atom
Theoretical density ... 3.8 Mg/m³
Total moment ... 0.000 μB per atom
Uncorrected formation energy ... -0.0323 eV/atom

Unit cell a=5.984 b=5.984 c=11.373 alpha=90.00 beta=90.00 gamma=90.00
Space group P4_2/mnm (No. 136)
Unique sites:
Si: 0.000 0.000 0.000 x2
Sb: 0.000 0.000 0.334 x4
S: 0.183 0.183 0.150 x8
S: 0.216 0.216 0.500 x4

***

No. 20
Material: SiSb2S4
Method: DFT, PBE-GGA
State: optimized geometry

## Properties
Density of states at the Fermi level ... 5.96 states/eV per cell
Energy ... -4.576 eV per atom
Theoretical density ... 3.3 Mg/m³
Total moment ... 0.000 μB per atom
Uncorrected formation energy ... -0.2646 eV/atom

Unit cell a=7.529 b=6.503 c=8.539 alpha=90.00 beta=105.63 gamma=90.00
Space group P2_1/m (No. 11)
Unique sites:
Si: 0.174 0.250 0.271 x2
Sb: 0.210 0.750 0.168 x2
Sb: 0.361 0.750 0.538 x2
S: 0.015 0.501 0.774 x4
S: 0.338 0.250 0.531 x2
S: 0.378 0.250 0.148 x2